(1)
Material: SiTe4Ir
Method: DFT, PBE
State: optimized geometry

extended XYZ file:
```
6
Lattice="0.000 4.311 4.311 4.311 0.000 4.311 4.311 4.311 0.000" Properties=species:S:1:pos:R:3 pbc="T T T"
Si 0.000 0.000 0.000
Te 5.378 3.245 3.245
Te 3.245 5.378 3.245
Te 3.245 3.245 5.378
Te 5.378 5.378 5.378
Ir 2.156 2.156 2.156
```

Calculated values
total DFT energy (no corrections) = -0.1149 hartree per atom
V = 26.7 Å³/atom
crystal system = cubic
symmetry = F-43m, No. 216

(2)
Material: ZrAg5Br12
Method: DFT, PBE
State: optimized geometry

extended XYZ file:
```
18
Lattice="3.792 -5.764 0.000 3.792 5.764 0.000 -3.293 0.000 13.583" Properties=species:S:1:pos:R:3 pbc="T T T"
Zr 0.000 0.000 0.000
Ag -1.647 0.000 6.791
Ag 3.792 1.953 0.000
Ag 2.146 1.925 6.791
Ag 2.146 -1.925 6.791
Ag 3.792 -1.953 0.000
Br 1.017 1.813 1.657
Br 1.299 3.838 8.372
Br 2.992 3.838 5.211
Br -1.001 0.000 12.168
Br 1.017 -1.813 1.657
Br 1.299 0.000 8.368
Br 2.993 0.000 5.214
Br 3.274 1.813 11.926
Br 5.292 0.000 1.415
Br 1.299 -3.838 8.372
Br 2.992 -3.838 5.211
Br 3.274 -1.813 11.926
```

Calculated values
total DFT energy (no corrections) = -0.1074 hartree per atom
V = 33.0 Å³/atom
crystal system = monoclinic
symmetry = C2/m, No. 12

(3)
Material: La2SiI2O4
Method: DFT, PBE
State: optimized geometry

extended XYZ file:
```
36
Lattice="8.452 0.000 0.000 -0.010 8.729 0.000 -1.957 -3.962 11.920" Properties=species:S:1:pos:R:3 pbc="T T T"
La 0.530 1.272 3.832
La 0.571 -1.983 7.437
La 1.731 5.637 3.830
La 1.695 2.389 7.451
La 4.790 2.377 4.469
La 4.754 -0.871 8.090
La 5.914 6.750 4.483
La 5.955 3.495 8.088
Si -0.460 4.170 5.682
Si 2.716 -0.189 5.690
Si 3.769 4.956 6.230
Si 6.945 0.596 6.238
I -1.569 -2.587 10.018
I -0.371 1.574 9.854
I 2.647 2.998 1.897
I 3.844 7.600 2.093
I 2.641 -2.834 9.827
I 3.838 1.768 10.023
I 6.856 3.192 2.066
I 8.054 7.354 1.902
O -0.425 5.738 5.167
O -0.006 1.216 6.322
O -0.126 4.185 7.313
O 0.757 3.453 4.856
O 1.498 -0.913 4.871
O 2.267 5.572 6.311
O 2.678 1.376 5.170
O 2.384 -0.176 7.321
O 4.101 4.942 4.599
O 3.807 3.391 6.750
O 4.219 -0.806 5.609
O 4.987 5.679 7.049
O 5.729 1.313 7.064
O 6.612 0.581 4.607
O 6.491 3.551 5.598
O 6.910 -0.972 6.753
```

Calculated values
total DFT energy (no corrections) = -0.2582 hartree per atom
V = 24.4 Å³/atom
crystal system = triclinic
symmetry = P-1, No. 2

total DFT energy (no corrections) of number 1 (SiTe4Ir)? -0.1149 hartree per atom